No. 1
The following is a DFT calculation (PBE-GGA) of HfZr2NbB after structural relaxation.

```
data_HfZr2NbB
_chemical_formula_sum 'Hf1 Zr2 Nb1 B1'
_cell_length_a 5.134
_cell_length_b 5.134
_cell_length_c 4.254
_cell_angle_alpha 90.00
_cell_angle_beta 90.00
_cell_angle_gamma 90.00
_symmetry_space_group_name_H-M 'P 4/m m m'
_symmetry_Int_Tables_number 123
_symmetry_space_group_name_Hall '-P 4 2'
loop_
_atom_site_label
_atom_site_fract_x
_atom_site_fract_y
_atom_site_fract_z
Hf1 0.000 0.000 0.000
Zr1 0.000 0.500 0.500
Nb1 0.500 0.500 0.500
B1 0.500 0.500 0.000
```

Computed properties:
D(E_F), states/eV/atom: 1.481
E_form, meV per atom: 1109



No. 2
The following is a DFT calculation (PBE-GGA) of PaBTe after structural relaxation.

```
data_PaBTe
_chemical_formula_sum 'Pa4 B4 Te4'
_cell_length_a 7.079
_cell_length_b 4.101
_cell_length_c 11.068
_cell_angle_alpha 90.00
_cell_angle_beta 106.62
_cell_angle_gamma 90.00
_symmetry_space_group_name_H-M 'C 1 2/m 1'
_symmetry_Int_Tables_number 12
loop_
_symmetry_equiv_pos_as_xyz
'x,y,z'
'-x,-y,-z'
'-x,y,-z'
'x,-y,z'
'x+1/2,y+1/2,z'
'-x+1/2,-y+1/2,-z'
'-x+1/2,y+1/2,-z'
'x+1/2,-y+1/2,z'
loop_
_atom_site_label
_atom_site_fract_x
_atom_site_fract_y
_atom_site_fract_z
Pa1 0.158 0.000 0.347
B1 0.047 0.500 0.443
Te1 0.238 0.500 0.163
```

Computed properties:
D(E_F), states/eV/atom: 0.224
Uncorrected formation energy, eV per atom: -0.3714



No. 3
The following is a DFT calculation (PBE-GGA) of Ac3La8Tm after structural relaxation.

```
data_Ac3La8Tm
_chemical_formula_sum 'Ac6 La16 Tm2'
_cell_length_a 6.919
_cell_length_b 11.807
_cell_length_c 11.862
_cell_angle_alpha 90.00
_cell_angle_beta 90.00
_cell_angle_gamma 90.00
_symmetry_space_group_name_H-M 'I m m m'
_symmetry_Int_Tables_number 71
_symmetry_space_group_name_Hall '-I 2 2'
loop_
_atom_site_label
_atom_site_fract_x
_atom_site_fract_y
_atom_site_fract_z
Ac1 0.000 0.000 0.000
Ac2 0.000 0.244 0.500
La1 0.000 0.256 0.172
La2 0.221 0.000 0.277
Tm1 0.000 0.500 0.000
```

Computed properties:
D(E_F), states/eV/atom: 1.587
E_form, meV per atom: 211



No. 4
The following is a DFT calculation (PBE-GGA) of KRe2Sb after structural relaxation.

```
data_KRe2Sb
_chemical_formula_sum 'K4 Re8 Sb4'
_cell_length_a 4.752
_cell_length_b 4.752
_cell_length_c 19.240
_cell_angle_alpha 90.00
_cell_angle_beta 90.00
_cell_angle_gamma 90.00
_symmetry_space_group_name_H-M 'I -4 2 d'
_symmetry_Int_Tables_number 122
_symmetry_space_group_name_Hall 'I -4 2bw'
loop_
_atom_site_label
_atom_site_fract_x
_atom_site_fract_y
_atom_site_fract_z
K1 0.000 0.000 0.000
Re1 0.067 0.250 0.625
Sb1 0.000 0.000 0.500
```

Computed properties:
D(E_F), states/eV/atom: 0.979
Uncorrected formation energy, eV per atom: 1.2825



No. 5
The following is a DFT calculation (PBE-GGA) of Tb2Er2Ni15 after structural relaxation.

```
data_Tb2Er2Ni15
_chemical_formula_sum 'Tb6 Er6 Ni45'
_cell_length_a 8.5116
_cell_length_b 8.5116
_cell_length_c 12.6045
_cell_angle_alpha 90.00
_cell_angle_beta 90.00
_cell_angle_gamma 120.00
_symmetry_space_group_name_H-M 'R -3 m'
_symmetry_Int_Tables_number 166
_symmetry_space_group_name_Hall '-R 3 2"'
loop_
_atom_site_label
_atom_site_fract_x
_atom_site_fract_y
_atom_site_fract_z
Tb1 0.0000 0.0000 0.1397
Er1 0.0000 0.0000 0.3892
Ni1 0.0000 0.3089 0.5000
Ni2 0.0000 0.5000 0.0000
Ni3 0.0102 0.5051 0.6567
```

Computed properties:
D(E_F), states/eV/atom: 1.367
E_form, meV per atom: -252



No. 6
The following is a DFT calculation (PBE-GGA) of OsPt2Pb after structural relaxation.

```
data_OsPt2Pb
_chemical_formula_sum 'Os2 Pt4 Pb2'
_cell_length_a 8.994
_cell_length_b 3.104
_cell_length_c 5.199
_cell_angle_alpha 90.00
_cell_angle_beta 101.23
_cell_angle_gamma 90.00
_symmetry_space_group_name_H-M 'C 1 m 1'
_symmetry_Int_Tables_number 8
loop_
_symmetry_equiv_pos_as_xyz
'x,y,z'
'x,-y,z'
'x+1/2,y+1/2,z'
'x+1/2,-y+1/2,z'
loop_
_atom_site_label
_atom_site_fract_x
_atom_site_fract_y
_atom_site_fract_z
Os1 0.000 0.000 0.000
Pt1 0.241 0.500 0.188
Pt2 0.491 0.000 0.426
Pb1 0.247 0.000 0.700
```

Computed properties:
D(E_F), states/eV/atom: 0.860
E_form, meV per atom: 403